Record 1
Li3HgGe: PBEsol geometry, SCAN.

Properties
Calculated density, Mg/m³: 4.49
Energy relative to the elements, eV/atom: -0.012
Crystal system: cubic
Raw total energy, eV per cell: -94.484

Lattice parameters (Å, degrees): 4.773 4.773 4.773 90.00 90.00 90.00
Space group Pm-3m (No. 221)
Inequivalent atoms, fractional coordinates:
Li 0.000 0.000 0.500 (multiplicity 3)
Hg 0.500 0.500 0.500 (multiplicity 1)
Ge 0.000 0.000 0.000 (multiplicity 1)

Record 2
LiScAl2: PBEsol geometry, SCAN.

Properties
Calculated density, Mg/m³: 2.38
Energy relative to the elements, eV/atom: -0.076
Crystal system: trigonal
Raw total energy, eV per cell: -97.300

Lattice parameters (Å, degrees): 2.9902 2.9902 28.5712 90.00 90.00 120.00
Space group R-3m (No. 166, hexagonal axes)
Inequivalent atoms, fractional coordinates:
Li 0.0000 0.0000 0.0000 (multiplicity 3)
Sc 0.0000 0.0000 0.5000 (multiplicity 3)
Al 0.0000 0.0000 0.2514 (multiplicity 6)

Record 3
Mo3Se2: PBEsol geometry, SCAN.

Properties
Calculated density, Mg/m³: 9.03
Raw formation energy, eV/atom: 0.55
Crystal system: trigonal
Raw total energy, eV per cell: -142.074

Lattice parameters (Å, degrees): 4.0974 4.0974 5.6351 90.00 90.00 120.00
Space group P-3m1 (No. 164)
Inequivalent atoms, fractional coordinates:
Mo 0.0000 0.0000 0.0000 (multiplicity 1)
Mo 0.3333 0.6667 0.3498 (multiplicity 2)
Se 0.3333 0.6667 0.7915 (multiplicity 2)

- Which formula does entry 3 have?
  Mo3Se2